[1]
Entry from Alexandria via LeMat-Bulk: an optimized crystal structure of Mo2OsCl (PBE).

a = 10.078 Å, b = 2.932 Å, c = 4.348 Å
α = 90.00°, β = 93.47°, γ = 90.00°
Space group Cm (No. 8)
Inequivalent atoms, fractional coordinates:
Mo  0.000  0.000  0.000 [2 per cell]
Mo  0.197  0.500  0.297 [2 per cell]
Os  0.272  0.000  0.846 [2 per cell]
Cl  0.488  0.000  0.553 [2 per cell]

## Properties
Formation energy without anion corrections (eV per atom): 0.524
E (eV/cell): -65.3
DOS(E_F) (states/eV/cell): 5.60
ΔE to the lowest computed polymorph (kcal/mol of atoms): 6.43

[2]
Entry from Alexandria via LeMat-Bulk: an optimized crystal structure of MoOsCl2 (PBE).

a = 3.0025 Å, b = 3.0025 Å, c = 24.3031 Å
α = 90.00°, β = 90.00°, γ = 120.00°
Space group R-3m (No. 166, hexagonal axes)
Inequivalent atoms, fractional coordinates:
Mo  0.0000  0.0000  0.0000 [3 per cell]
Os  0.0000  0.0000  0.5000 [3 per cell]
Cl  0.0000  0.0000  0.4064 [6 per cell]

## Properties
Formation energy without anion corrections (eV per atom): 0.527
E (eV/cell): -70.9
DOS(E_F) (states/eV/cell): 7.27
ΔE to the lowest computed polymorph (kcal/mol of atoms): 14.54

[3]
Entry from Alexandria via LeMat-Bulk: an optimized crystal structure of Mo2OsCl (PBE).

a = 5.364 Å, b = 8.375 Å, c = 2.863 Å
α = 90.00°, β = 106.35°, γ = 90.00°
Space group C2/m (No. 12)
Inequivalent atoms, fractional coordinates:
Mo  0.250  0.250  0.000 [4 per cell]
Os  0.000  0.000  0.500 [2 per cell]
Cl  0.000  0.500  0.500 [2 per cell]

## Properties
Formation energy without anion corrections (eV per atom): 0.811
E (eV/cell): -63.0
DOS(E_F) (states/eV/cell): 5.39
ΔE to the lowest computed polymorph (kcal/mol of atoms): 13.05